DFT (GGA-PBE) results for a relaxed KTlP2 crystal.

It has space group R-3m (No. 166, hexagonal axes), with a = 3.8232 Å, b = 3.8232 Å, c = 25.0791 Å, α = 90.00°, β = 90.00° and γ = 120.00°. The asymmetric unit holds K at (0.0000, 0.0000, 0.0000), Tl at (0.0000, 0.0000, 0.5000) and P at (0.0000, 0.0000, 0.2341).

The value obtained for the total magnetic moment is 0.03 μB/f.u. Its mass density is 4.79 g/cm3. The formation energy comes out at 0.3914 eV per atom. The density of states at the Fermi level comes out at 14.8 states/eV per cell. For the total energy, the calculation gives -38.153 eV/cell. The value obtained for the energy above the lowest structure with this stoichiometry is 0.570 eV/atom.